Entry 1:
Material: Ac2InAu5
Method: DFT, PBE-GGA
State: relaxed

Cell: 6.5904 6.5904 6.5904 Å, 94.68 117.34 117.34°
Last column: nearest neighbours and their distance in Å.
Element x y z (fractional)
Au1 0.0000 0.2606 0.2606  1 In 2.84, 4 Au 2.99
Au2 0.0000 0.7153 0.2941  1 In 2.86, 3 Au 2.89-2.99
Au3 0.4211 0.7153 0.7153  1 In 2.86, 3 Au 2.89-2.99
Au4 0.5789 0.2941 0.2941  1 In 2.86, 3 Au 2.89-2.99
Au5 0.0000 0.2941 0.7153  1 In 2.86, 3 Au 2.89-2.99
Ac1 0.5000 0.7501 0.2501  10 Au 3.29-3.43
Ac2 0.5000 0.2501 0.7501  10 Au 3.29-3.43
In1 0.0000 0.9424 0.9424  5 Au 2.84-2.86

Values from the calculation:
The calculation puts the total energy at -4.01 eV/atom. As for the crystal system: tetragonal. The value obtained for the formation energy is -0.592 eV/atom. Its space group is I4mm. The density is 12.3 g/cm³.

Entry 2:
Material: TbMg2Ag
Method: DFT, PBE-GGA
State: relaxed

Cell: 4.9276 4.3797 4.3797 Å, 90.00 90.00 90.00°
Last column: nearest neighbours and their distance in Å.
Element x y z (fractional)
Mg1 0.0000 0.0000 0.5000  4 Mg 3.10, 4 Tb 3.30, 4 Ag 3.30
Mg2 0.0000 0.5000 0.0000  4 Mg 3.10, 4 Tb 3.30, 4 Ag 3.30
Ag1 0.5000 0.0000 0.0000  4 Tb 3.10, 8 Mg 3.30
Tb1 0.5000 0.5000 0.5000  4 Ag 3.10, 8 Mg 3.30

Values from the calculation:
The calculation puts the total energy at -2.78 eV/atom. As for the crystal system: tetragonal. The value obtained for the formation energy is -0.113 eV/atom. Its space group is P4/mmm. The density is 5.5 g/cm³.

Entry 3:
Material: Zr2TaCl
Method: DFT, PBE-GGA
State: relaxed

Cell: 5.1764 3.1057 5.5344 Å, 73.89 90.00 90.00°
Last column: nearest neighbours and their distance in Å.
Element x y z (fractional)
Zr1 0.0000 0.1000 0.9256  2 Cl 2.67
Zr2 0.5000 0.3627 0.3964  2 Cl 2.61, 2 Ta 2.84
Cl1 0.0000 0.3963 0.3340  4 Zr 2.61-2.67
Ta1 0.5000 0.6410 0.8440  7 Zr 2.84-3.05, 2 Ta 3.11

Values from the calculation:
The calculation puts the total energy at -7.78 eV/atom. As for the crystal system: monoclinic. Its uncorrected formation energy is -0.0796 eV per atom. Its space group is Pm. The density is 7.7 g/cm³.

Entry 4:
Material: KTcIr2
Method: DFT, PBE-GGA
State: relaxed

Cell: 2.7596 2.7596 9.5939 Å, 90.00 90.00 90.00°
Last column: nearest neighbours and their distance in Å.
Element x y z (fractional)
Ir1 0.0000 0.0000 0.0020  4 Tc 2.68, 8 Ir 2.74-2.76
Ir2 0.5000 0.5000 0.2027  8 Ir 2.74-2.76
K1 0.0000 0.0000 0.4841  4 K 2.76
Tc1 0.5000 0.5000 0.8113  4 Ir 2.68, 4 Tc 2.76

Values from the calculation:
The calculation puts the total energy at -6.66 eV/atom. As for the crystal system: tetragonal. The value obtained for the formation energy is 0.640 eV/atom. Its space group is P4mm. The density is 11.9 g/cm³.

Entry 5:
Material: Tb7ThSc3
Method: DFT, PBE-GGA
State: relaxed

Cell: 9.6840 9.6840 13.0514 Å, 100.60 100.60 139.72°
Last column: nearest neighbours and their distance in Å.
Element x y z (fractional)
Sc1 0.0005 0.5068 0.2508  6 Tb 3.23-3.34, 2 Sc 3.34
Sc2 0.4932 0.9995 0.7492  6 Tb 3.23-3.34, 2 Sc 3.34
Sc3 0.5068 0.0005 0.2508  6 Tb 3.23-3.34, 2 Sc 3.34
Sc4 0.0000 0.0000 0.0000  10 Tb 3.28-3.61, 2 Th 3.33
Sc5 0.0000 0.0000 0.5000  6 Tb 3.09-3.41, 2 Th 3.33
Sc6 0.9995 0.4932 0.7492  6 Tb 3.23-3.34, 2 Sc 3.34
Tb1 0.0813 0.8974 0.7520  3 Sc 3.31-3.61, 4 Tb 3.35-3.70, 2 Th 3.58-3.62
Tb2 0.9187 0.1026 0.2480  3 Sc 3.31-3.61, 4 Tb 3.35-3.70, 2 Th 3.58-3.62
Tb3 0.5494 0.8743 0.4632  3 Sc 3.27-3.41, 4 Tb 3.29-3.44, 1 Th 3.42
Tb4 0.8751 0.5501 0.9606  3 Sc 3.23-3.41, 4 Tb 3.30-3.50, 1 Th 3.43
Tb5 0.4499 0.1249 0.0394  3 Sc 3.23-3.41, 4 Tb 3.30-3.50, 1 Th 3.43
Tb6 0.8743 0.5494 0.4632  3 Sc 3.27-3.41, 4 Tb 3.29-3.44, 1 Th 3.42
Tb7 0.1249 0.4499 0.0394  3 Sc 3.23-3.41, 4 Tb 3.30-3.50, 1 Th 3.43
Tb8 0.5501 0.8751 0.9606  3 Sc 3.23-3.41, 4 Tb 3.30-3.50, 1 Th 3.43
Tb9 0.1026 0.9187 0.2480  3 Sc 3.31-3.61, 4 Tb 3.35-3.70, 2 Th 3.58-3.62
Tb10 0.5215 0.5215 0.2537  2 Sc 3.09-3.28, 2 Th 3.24-3.29
Tb11 0.1257 0.4506 0.5368  3 Sc 3.27-3.41, 4 Tb 3.29-3.44, 1 Th 3.42
Tb12 0.4785 0.4785 0.7463  2 Sc 3.09-3.28, 2 Th 3.24-3.29
Tb13 0.8974 0.0813 0.7520  3 Sc 3.31-3.61, 4 Tb 3.35-3.70, 2 Th 3.58-3.62
Tb14 0.4506 0.1257 0.5368  3 Sc 3.27-3.41, 4 Tb 3.29-3.44, 1 Th 3.42
Th1 0.5000 0.5000 0.5000  10 Tb 3.29-3.58, 2 Sc 3.33
Th2 0.5000 0.5000 0.0000  10 Tb 3.24-3.62, 2 Sc 3.33

Values from the calculation:
The calculation puts the total energy at -5.20 eV/atom. As for the crystal system: monoclinic. The value obtained for the formation energy is 0.147 eV/atom. Its space group is C2/m. The density is 7.3 g/cm³.

Entry 6:
Material: TiPdI3
Method: DFT, PBE-GGA
State: relaxed

Cell: 5.5429 5.5429 5.5429 Å, 90.00 90.00 90.00°
Last column: nearest neighbours and their distance in Å.
Element x y z (fractional)
I1 0.0000 0.5000 0.0000  2 Ti 2.77
I2 0.0000 0.0000 0.5000  2 Ti 2.77
I3 0.5000 0.0000 0.0000  2 Ti 2.77
Pd1 0.5000 0.5000 0.5000  12 I 3.92
Ti1 0.0000 0.0000 0.0000  6 I 2.77

Values from the calculation:
The calculation puts the total energy at -3.42 eV/atom. As for the crystal system: cubic. Its uncorrected formation energy is 0.1230 eV per atom. Its space group is Pm-3m. The density is 5.2 g/cm³.

Entry 7:
Material: Pr6Sn2BiTe3
Method: DFT, PBE-GGA
State: relaxed

Cell: 4.5756 9.1594 10.2217 Å, 102.78 102.93 90.00°
Last column: nearest neighbours and their distance in Å.
Element x y z (fractional)
Pr1 0.3329 0.9075 0.6658  2 Sn 3.18, 1 Bi 3.24, 3 Te 3.25-3.29
Pr2 0.3311 0.4218 0.6623  3 Sn 3.19-3.20, 3 Te 3.28-3.29
Pr3 0.9962 0.7490 0.9924  1 Sn 3.17, 2 Bi 3.23, 3 Te 3.24-3.28
Pr4 0.6689 0.5782 0.3377  3 Sn 3.19-3.20, 3 Te 3.28-3.29
Pr5 0.6671 0.0925 0.3342  2 Sn 3.18, 1 Bi 3.24, 3 Te 3.25-3.29
Pr6 0.0038 0.2510 0.0076  1 Sn 3.17, 2 Bi 3.23, 3 Te 3.24-3.28
Sn1 0.1670 0.3337 0.3339  6 Pr 3.17-3.20
Sn2 0.8330 0.6663 0.6661  6 Pr 3.17-3.20
Bi1 0.5000 0.0000 0.0000  6 Pr 3.23-3.24
Te1 0.5000 0.5000 0.0000  6 Pr 3.24-3.28
Te2 0.8347 0.1662 0.6695  6 Pr 3.25-3.29
Te3 0.1653 0.8338 0.3305  6 Pr 3.25-3.29

Values from the calculation:
The calculation puts the total energy at -5.34 eV/atom. As for the crystal system: monoclinic. Its uncorrected formation energy is -1.1733 eV per atom. Its space group is C2/m. The density is 6.8 g/cm³.

Entry 8:
Material: CrNiB
Method: DFT, PBE-GGA
State: relaxed

Cell: 4.5366 2.9702 8.3662 Å, 90.00 90.00 90.00°
Last column: nearest neighbours and their distance in Å.
Element x y z (fractional)
Cr1 0.5000 0.0000 0.7888  2 B 2.08
Cr2 0.0000 0.5000 0.2888  2 B 2.08
Cr3 0.0000 0.5000 0.7112  2 B 2.08
Cr4 0.5000 0.0000 0.2112  2 B 2.08
Ni1 0.2496 0.0000 0.5000  4 B 2.10, 2 Ni 2.26-2.27
Ni2 0.7504 0.0000 0.5000  4 B 2.10, 2 Ni 2.26-2.27
Ni3 0.7496 0.5000 0.0000  4 B 2.10, 2 Ni 2.26-2.27
Ni4 0.2504 0.5000 0.0000  4 B 2.10, 2 Ni 2.26-2.27
B1 0.5000 0.5000 0.3853  1 B 1.92, 2 Cr 2.08, 4 Ni 2.10
B2 0.5000 0.5000 0.6147  1 B 1.92, 2 Cr 2.08, 4 Ni 2.10
B3 0.0000 0.0000 0.1147  1 B 1.92, 2 Cr 2.08, 4 Ni 2.10
B4 0.0000 0.0000 0.8853  1 B 1.92, 2 Cr 2.08, 4 Ni 2.10

Values from the calculation:
The calculation puts the total energy at -7.50 eV/atom. As for the crystal system: orthorhombic. The value obtained for the formation energy is -0.140 eV/atom. Its space group is Immm. The density is 7.2 g/cm³.

Entry 9:
Material: OsCSe2
Method: DFT, PBE-GGA
State: relaxed

Cell: 7.6403 7.6403 7.6403 Å, 23.23 23.23 23.23°
Last column: nearest neighbours and their distance in Å.
Element x y z (fractional)
C1 0.0000 0.0000 0.0000  6 Se 2.24
Se1 0.6054 0.6054 0.6054  3 C 2.24, 1 Os 2.35
Se2 0.3946 0.3946 0.3946  3 C 2.24, 1 Os 2.35
Os1 0.5000 0.5000 0.5000  2 Se 2.35

Values from the calculation:
The calculation puts the total energy at -5.36 eV/atom. As for the crystal system: trigonal. Its uncorrected formation energy is 1.4930 eV per atom. Its space group is R-3m. The density is 9.8 g/cm³.

Entry 10:
Material: LiSmHo
Method: DFT, PBE-GGA
State: relaxed

Cell: 3.6872 3.6872 6.7234 Å, 105.91 105.91 90.00°
Last column: nearest neighbours and their distance in Å.
Element x y z (fractional)
Ho1 0.0148 0.0148 0.0297  4 Li 3.20, 4 Sm 3.54
Li1 0.6639 0.6639 0.3277  4 Ho 3.20, 4 Sm 3.26
Sm1 0.3213 0.3213 0.6426  4 Li 3.26, 4 Ho 3.54

Values from the calculation:
The calculation puts the total energy at -3.65 eV/atom. As for the crystal system: tetragonal. The value obtained for the formation energy is 0.088 eV/atom. Its space group is I4mm. The density is 6.4 g/cm³.

Entry 11:
Material: ZrIr2Rh
Method: DFT, PBE-GGA
State: relaxed

Cell: 9.4046 9.4046 9.4046 Å, 17.27 17.27 17.27°
Last column: nearest neighbours and their distance in Å.
Element x y z (fractional)
Ir1 0.9955 0.9955 0.9955  3 Rh 2.73, 6 Ir 2.82, 3 Zr 2.94
Ir2 0.5045 0.5045 0.5045  3 Rh 2.73, 6 Ir 2.82, 3 Zr 2.94
Zr1 0.7500 0.7500 0.7500  6 Zr 2.82, 6 Ir 2.94
Rh1 0.2500 0.2500 0.2500  6 Ir 2.73, 6 Rh 2.82

Values from the calculation:
The calculation puts the total energy at -8.45 eV/atom. As for the crystal system: trigonal. The value obtained for the formation energy is -0.042 eV/atom. Its space group is R-3m. The density is 15.0 g/cm³.

Entry 12:
Material: Dy5ScCd4
Method: DFT, PBE-GGA
State: relaxed

Cell: 3.6759 3.6759 19.7403 Å, 90.00 90.00 90.00°
Last column: nearest neighbours and their distance in Å.
Element x y z (fractional)
Dy1 0.5000 0.5000 0.3058  8 Cd 3.23-3.26
Dy2 0.5000 0.5000 0.6942  8 Cd 3.23-3.26
Dy3 0.5000 0.5000 0.1073  4 Cd 3.25, 4 Sc 3.35
Dy4 0.5000 0.5000 0.5000  8 Cd 3.23
Dy5 0.5000 0.5000 0.8927  4 Cd 3.25, 4 Sc 3.35
Cd1 0.0000 0.0000 0.2065  8 Dy 3.25-3.26
Cd2 0.0000 0.0000 0.4028  8 Dy 3.23
Cd3 0.0000 0.0000 0.5972  8 Dy 3.23
Cd4 0.0000 0.0000 0.7935  8 Dy 3.25-3.26
Sc1 0.0000 0.0000 0.0000  8 Dy 3.35, 4 Sc 3.68

Values from the calculation:
The calculation puts the total energy at -3.54 eV/atom. As for the crystal system: tetragonal. The value obtained for the formation energy is -0.237 eV/atom. Its space group is P4/mmm. The density is 8.1 g/cm³.